# 1
Entry from Alexandria via LeMat-Bulk: an optimized crystal structure of Fe2Pt5Rh (GGA-PBE).

Cell: 5.5233 11.0534 3.8755 Å, 90.00 90.00 90.00°
With the nearest neighbours (Å) after each atom.
Fractional positions:
1 Fe 0.2455 0.1234 0.0000  10 Pt 2.73-2.80, 2 Rh 2.73
2 Fe 0.2545 0.6234 0.0000  10 Pt 2.73-2.80, 2 Rh 2.73
3 Fe 0.7455 0.3766 0.0000  10 Pt 2.73-2.80, 2 Rh 2.73
4 Fe 0.7545 0.8766 0.0000  10 Pt 2.73-2.80, 2 Rh 2.73
5 Pt 0.0000 0.5000 0.5000  6 Pt 2.74-2.78, 4 Fe 2.76, 2 Rh 2.76
6 Pt 0.0021 0.7511 0.5000  4 Fe 2.75-2.77, 7 Pt 2.75-2.78, 1 Rh 2.75
7 Pt 0.2504 0.3767 0.0000  4 Fe 2.73-2.80, 2 Rh 2.74, 6 Pt 2.74-2.77
8 Pt 0.2496 0.8767 0.0000  4 Fe 2.73-2.80, 2 Rh 2.74, 6 Pt 2.74-2.77
9 Pt 0.4979 0.2511 0.5000  4 Fe 2.75-2.77, 7 Pt 2.75-2.78, 1 Rh 2.75
10 Pt 0.5000 0.0000 0.5000  6 Pt 2.74-2.78, 4 Fe 2.76, 2 Rh 2.76
11 Pt 0.5021 0.7489 0.5000  4 Fe 2.75-2.77, 7 Pt 2.75-2.78, 1 Rh 2.75
12 Pt 0.7504 0.1233 0.0000  4 Fe 2.73-2.80, 2 Rh 2.74, 6 Pt 2.74-2.77
13 Pt 0.7496 0.6233 0.0000  4 Fe 2.73-2.80, 2 Rh 2.74, 6 Pt 2.74-2.77
14 Pt 0.9979 0.2489 0.5000  4 Fe 2.75-2.77, 7 Pt 2.75-2.78, 1 Rh 2.75
15 Rh 0.0000 0.0000 0.5000  4 Fe 2.73, 8 Pt 2.74-2.76
16 Rh 0.5000 0.5000 0.5000  4 Fe 2.73, 8 Pt 2.74-2.76

Calculated values
As for the formation energy from the elements: -0.2064 eV per atom. The crystal system is orthorhombic. The calculated total energy comes out at -7.017 eV per atom.



# 2
Entry from Alexandria via LeMat-Bulk: an optimized crystal structure of KAg2IF2 (GGA-PBE).

Cell: 6.1960 5.7765 8.8161 Å, 90.00 103.63 90.00°
With the nearest neighbours (Å) after each atom.
Fractional positions:
1 K 0.2108 0.2500 0.4198  2 F 2.52-2.61
2 K 0.7892 0.7500 0.5802  2 F 2.52-2.61
3 Ag 0.3623 0.5030 0.8441  2 F 2.35-2.40
4 Ag 0.3623 0.9970 0.8441  2 F 2.35-2.40
5 Ag 0.6377 0.0030 0.1559  2 F 2.35-2.40
6 Ag 0.6377 0.4970 0.1559  2 F 2.35-2.40
7 I 0.2204 0.7500 0.0854  4 Ag 2.87-2.91
8 I 0.7796 0.2500 0.9146  4 Ag 2.87-2.91
9 F 0.1130 0.2500 0.6814  2 Ag 2.35, 1 K 2.52
10 F 0.3911 0.7500 0.6307  2 Ag 2.40, 1 K 2.61
11 F 0.6089 0.2500 0.3693  2 Ag 2.40, 1 K 2.61
12 F 0.8870 0.7500 0.3186  2 Ag 2.35, 1 K 2.52

Calculated values
The uncorrected formation energy comes out at -1255 meV per atom. The crystal system is monoclinic. The calculated total energy comes out at -3.271 eV per atom.



# 3
Entry from Alexandria via LeMat-Bulk: an optimized crystal structure of NdY5Ho7 (GGA-PBE).

Cell: 8.6888 8.6888 8.6888 Å, 134.40 100.69 96.59°
With the nearest neighbours (Å) after each atom.
Fractional positions:
1 Nd 0.0000 0.0000 0.0000  3 Ho 3.46-3.69, 4 Y 3.77
2 Y 0.0246 0.0312 0.4598  2 Ho 3.09-3.44, 2 Y 3.14-3.42
3 Y 0.0246 0.5648 0.9933  2 Ho 3.09-3.44, 2 Y 3.14-3.42
4 Y 0.3020 0.8020 0.5000  6 Ho 3.37-3.48, 4 Y 3.42
5 Y 0.5714 0.0312 0.0067  2 Ho 3.09-3.44, 2 Y 3.14-3.42
6 Y 0.5714 0.5648 0.5402  2 Ho 3.09-3.44, 2 Y 3.14-3.42
7 Ho 0.2196 0.5493 0.6703  5 Ho 3.47-3.80, 5 Y 3.47-3.48
8 Ho 0.2996 0.2996 0.0000  6 Y 3.37-3.52, 1 Nd 3.46, 1 Ho 3.51
9 Ho 0.3786 0.0496 0.3290  5 Y 3.43-3.50, 4 Ho 3.44-3.80, 1 Nd 3.69
10 Ho 0.6034 0.6034 0.0000  7 Ho 3.51-3.91, 4 Y 3.72
11 Ho 0.7206 0.0496 0.6710  5 Y 3.43-3.50, 4 Ho 3.44-3.80, 1 Nd 3.69
12 Ho 0.7976 0.2976 0.5000  4 Y 3.09, 2 Ho 3.44
13 Ho 0.8790 0.5493 0.3297  5 Ho 3.47-3.80, 5 Y 3.47-3.48

Calculated values
As for the formation energy from the elements: 0.2668 eV per atom. The crystal system is orthorhombic. The calculated total energy comes out at -5.051 eV per atom.



# 4
Entry from Alexandria via LeMat-Bulk: an optimized crystal structure of Zn2PbBrN (GGA-PBE).

Cell: 4.9808 4.9808 5.9879 Å, 90.00 90.00 90.00°
With the nearest neighbours (Å) after each atom.
Fractional positions:
1 Zn 0.0000 0.5000 0.0000  2 Br 2.49
2 Zn 0.5000 0.0000 0.0000  2 Br 2.49
3 Pb 0.0000 0.0000 0.5000  2 Br 2.99
4 Br 0.0000 0.0000 0.0000  4 Zn 2.49
5 N 0.5000 0.5000 0.5000  4 Pb 3.52, 8 Zn 3.89

Calculated values
The uncorrected formation energy comes out at 1609 meV per atom. The crystal system is tetragonal. The calculated total energy comes out at -1.642 eV per atom.



# 5
Entry from Alexandria via LeMat-Bulk: an optimized crystal structure of Ac2SmAs4Pd3 (GGA-PBE).

Cell: 4.5725 4.5725 11.0363 Å, 90.00 90.00 90.00°
With the nearest neighbours (Å) after each atom.
Fractional positions:
1 Ac 0.0000 0.5000 0.2163  8 As 3.31-3.52, 5 Pd 3.44-3.60
2 Ac 0.5000 0.0000 0.7837  8 As 3.31-3.52, 5 Pd 3.44-3.60
3 Sm 0.0000 0.0000 0.5000  4 As 2.87
4 As 0.0000 0.0000 0.0000  4 Pd 2.59
5 As 0.0000 0.5000 0.6567  3 Pd 2.58-2.87, 2 Sm 2.87
6 As 0.5000 0.0000 0.3433  3 Pd 2.58-2.87, 2 Sm 2.87
7 As 0.5000 0.5000 0.0000  4 Pd 2.59
8 Pd 0.0000 0.5000 0.8905  5 As 2.58-2.59
9 Pd 0.5000 0.0000 0.1095  5 As 2.58-2.59
10 Pd 0.5000 0.5000 0.5000  4 As 2.87

Calculated values
As for the formation energy from the elements: -0.9973 eV per atom. The crystal system is tetragonal. The calculated total energy comes out at -5.709 eV per atom.



# 6
Entry from Alexandria via LeMat-Bulk: an optimized crystal structure of Ca2AcNd (GGA-PBE).

Cell: 4.3151 4.3151 8.6674 Å, 90.00 90.00 90.00°
With the nearest neighbours (Å) after each atom.
Fractional positions:
1 Ca 0.0000 0.0000 0.2347  4 Nd 3.67, 4 Ac 3.82, 1 Ca 4.07
2 Ca 0.0000 0.0000 0.7653  4 Nd 3.67, 4 Ac 3.82, 1 Ca 4.07
3 Ac 0.5000 0.5000 0.5000  8 Ca 3.82
4 Nd 0.5000 0.5000 0.0000  8 Ca 3.67

Calculated values
The calculation puts the energy above the most stable polymorph in this dataset at 0.24 eV/f.u. As for the formation energy from the elements: 0.0824 eV per atom. The crystal system is tetragonal. The calculated total energy comes out at -3.137 eV per atom.